#P
# LaCuTc

Crystalline LaCuTc at its relaxed geometry (PBE, the Alexandria database).

Properties
Crystal system   hexagonal
DOS at the Fermi energy   4.26 states/eV per cell

Cell lengths 4.322, 4.322, 3.931 Å; angles 90.00, 90.00, 120.00 degrees
Fractional positions:
La  0.000  0.000  0.000
Cu  0.333  0.667  0.500
Tc  0.667  0.333  0.500


#Q
# LaCuTc

Crystalline LaCuTc at its relaxed geometry (PBE, the Alexandria database).

Properties
Crystal system   tetragonal
DOS at the Fermi energy   2.93 states/eV per cell

Cell lengths 5.429, 5.429, 5.429 Å; angles 142.13, 142.13, 54.63 degrees
Fractional positions:
La  0.000  0.000  0.000
Cu  0.704  0.704  0.000
Tc  0.282  0.282  0.000


Of them, #P has the highest stability.